1.
The following is a PBE calculation of crystalline KNiGeRh2 at its relaxed geometry, from the Alexandria database.

Values from the calculation:
The density of states at the Fermi level comes out at 4.2 states/eV/f.u. For the volume, the calculation gives 20.10 Å³ per atom. The total moment is 0.6 μB/cell. Its formation energy is 209 kJ/mol of formula units.

Cell: 4.7112 4.7112 4.5270 Å, 90.00 90.00 90.00°
With the nearest neighbours (Å) after each atom.
Space group P4/mmm (No. 123)
Inequivalent atoms, fractional coordinates:
1 K 0.0000 0.0000 0.0000 (multiplicity 1)  8 Rh 3.27, 4 Ni 3.33
2 Ni 0.5000 0.5000 0.0000 (multiplicity 1)  2 Ge 2.26
3 Ge 0.5000 0.5000 0.5000 (multiplicity 1)  2 Ni 2.26, 4 Rh 2.36
4 Rh 0.0000 0.5000 0.5000 (multiplicity 2)  2 Ge 2.36



2.
The following is a PBE calculation of crystalline Sb2MoRh at its relaxed geometry, from the Alexandria database.

Values from the calculation:
The density of states at the Fermi level comes out at 3.0 states/eV/f.u. For the volume, the calculation gives 18.80 Å³ per atom. The total moment is 0.0 μB/cell. The calculation puts the formation energy from raw total energies at 3.5 meV/atom.

Cell: 3.2092 5.0760 4.6165 Å, 90.00 90.00 90.00°
With the nearest neighbours (Å) after each atom.
Space group Pmm2 (No. 25)
Inequivalent atoms, fractional coordinates:
1 Sb 0.0000 0.0000 0.0000 (multiplicity 1)  4 Rh 2.73-2.89, 2 Mo 2.77
2 Sb 0.5000 0.5000 0.2770 (multiplicity 1)  4 Mo 2.74-2.88, 2 Rh 2.78
3 Mo 0.0000 0.5000 0.7587 (multiplicity 1)  6 Sb 2.74-2.88
4 Rh 0.5000 0.0000 0.5206 (multiplicity 1)  6 Sb 2.73-2.89



3.
The following is a PBE calculation of crystalline Dy4Ga3Ru at its relaxed geometry, from the Alexandria database.

Values from the calculation:
The density of states at the Fermi level comes out at 6.1 states/eV/f.u. For the volume, the calculation gives 23.17 Å³ per atom. The total moment is 0.0 μB/cell. Its formation energy is -431 kJ/mol of formula units.

Cell: 4.1630 4.1839 10.6439 Å, 90.00 90.00 90.00°
With the nearest neighbours (Å) after each atom.
Space group Pmm2 (No. 25)
Inequivalent atoms, fractional coordinates:
1 Dy 0.0000 0.0000 0.0000 (multiplicity 1)  1 Ru 2.91, 6 Ga 3.07-3.21
2 Dy 0.0000 0.5000 0.4792 (multiplicity 1)  5 Ga 3.02-3.10, 2 Ru 3.03
3 Dy 0.5000 0.0000 0.7036 (multiplicity 1)  7 Ga 3.04-3.11
4 Dy 0.5000 0.5000 0.2090 (multiplicity 1)  4 Ru 3.03, 3 Ga 3.05-3.07
5 Ga 0.0000 0.5000 0.7707 (multiplicity 1)  2 Ga 2.62
6 Ga 0.5000 0.0000 0.4172 (multiplicity 1)  2 Ru 2.58
7 Ga 0.5000 0.5000 0.9203 (multiplicity 1)  2 Ga 2.62
8 Ru 0.0000 0.0000 0.2736 (multiplicity 1)  2 Ga 2.58



4.
The following is a PBE calculation of crystalline TbOsPbO6 at its relaxed geometry, from the Alexandria database.

Values from the calculation:
The density of states at the Fermi level comes out at 3.2 states/eV/f.u. For the volume, the calculation gives 14.24 Å³ per atom. The total moment is 4.0 μB/cell. The calculation puts the formation energy from raw total energies at -1628.8 meV/atom.

Cell: 7.1435 7.2596 9.8828 Å, 90.00 90.00 90.00°
With the nearest neighbours (Å) after each atom.
Space group Imma (No. 74)
Inequivalent atoms, fractional coordinates:
1 Tb 0.2500 0.2500 0.2500 (multiplicity 4)  4 O 2.24-2.44
2 Os 0.0000 0.0000 0.0000 (multiplicity 4)  6 O 1.86-1.99
3 Pb 0.0000 0.2500 0.6202 (multiplicity 4)  1 O 2.30
4 O 0.0000 0.2500 0.0824 (multiplicity 4)  2 Os 1.99
5 O 0.0000 0.2500 0.3870 (multiplicity 4)  2 Tb 2.24, 1 Pb 2.30
6 O 0.1866 0.0470 0.8731 (multiplicity 16)  1 Os 1.86



5.
The following is a PBE calculation of crystalline TcH2Ir at its relaxed geometry, from the Alexandria database.

Values from the calculation:
The density of states at the Fermi level comes out at 3.0 states/eV/f.u. The value obtained for the final energy is -5.6612 eV per atom. For the volume, the calculation gives 9.18 Å³ per atom. The total moment is 0.0 μB/cell.

Cell: 5.2771 5.2771 5.2771 Å, 90.00 90.00 90.00°
With the nearest neighbours (Å) after each atom.
Space group Fm-3m (No. 225)
Inequivalent atoms, fractional coordinates:
1 Tc 0.0000 0.0000 0.0000 (multiplicity 4)  8 H 2.29
2 H 0.2500 0.2500 0.2500 (multiplicity 8)  4 Tc 2.29, 4 Ir 2.29
3 Ir 0.0000 0.0000 0.5000 (multiplicity 4)  8 H 2.29



6.
The following is a PBE calculation of crystalline Y3Ge2I2 at its relaxed geometry, from the Alexandria database.

Values from the calculation:
The density of states at the Fermi level comes out at 4.8 states/eV/f.u. For the volume, the calculation gives 31.71 Å³ per atom. The total moment is 0.0 μB/cell. The calculation puts the formation energy from raw total energies at -876.5 meV/atom.

Cell: 4.1094 7.2701 7.8344 Å, 81.58 89.96 73.65°
With the nearest neighbours (Å) after each atom.
Space group P-1 (No. 2)
Inequivalent atoms, fractional coordinates:
1 Y 0.0000 0.0000 0.0000 (multiplicity 1)  4 Ge 2.89
2 Y 0.2453 0.5088 0.7826 (multiplicity 2)  3 Ge 2.88-2.90, 2 I 3.17
3 Ge 0.3765 0.2475 0.1081 (multiplicity 2)  5 Y 2.88-2.90
4 I 0.1243 0.7523 0.3883 (multiplicity 2)  4 Y 3.17-3.29



7.
The following is a PBE calculation of crystalline NbB3Sb at its relaxed geometry, from the Alexandria database.

Values from the calculation:
The density of states at the Fermi level comes out at 1.8 states/eV/f.u. For the volume, the calculation gives 16.31 Å³ per atom. The total moment is 0.0 μB/cell. The calculation puts the formation energy from raw total energies at 1449.8 meV/atom.

Cell: 4.3368 4.3368 4.3368 Å, 90.00 90.00 90.00°
With the nearest neighbours (Å) after each atom.
Space group Pm-3m (No. 221)
Inequivalent atoms, fractional coordinates:
1 Nb 0.0000 0.0000 0.0000 (multiplicity 1)  6 B 2.17
2 B 0.0000 0.0000 0.5000 (multiplicity 3)  2 Nb 2.17
3 Sb 0.5000 0.5000 0.5000 (multiplicity 1)  12 B 3.07



8.
The following is a PBE calculation of crystalline PmHfGa4 at its relaxed geometry, from the Alexandria database.

Values from the calculation:
The density of states at the Fermi level comes out at 2.0 states/eV/f.u. For the volume, the calculation gives 18.90 Å³ per atom. The total moment is 0.0 μB/cell. Its formation energy is -233 kJ/mol of formula units.

Cell: 7.6837 7.6837 7.6837 Å, 90.00 90.00 90.00°
With the nearest neighbours (Å) after each atom.
Space group F-43m (No. 216)
Inequivalent atoms, fractional coordinates:
1 Pm 0.0000 0.0000 0.0000 (multiplicity 4)  12 Ga 3.19, 4 Hf 3.33
2 Hf 0.2500 0.2500 0.7500 (multiplicity 4)  12 Ga 3.18, 4 Pm 3.33
3 Ga 0.1245 0.1245 0.3755 (multiplicity 16)  6 Ga 2.71-2.73



Repeat the first record exactly.
The following is a PBE calculation of crystalline KNiGeRh2 at its relaxed geometry, from the Alexandria database.

Values from the calculation:
The density of states at the Fermi level comes out at 4.2 states/eV/f.u. For the volume, the calculation gives 20.10 Å³ per atom. The total moment is 0.6 μB/cell. Its formation energy is 209 kJ/mol of formula units.

Cell: 4.7112 4.7112 4.5270 Å, 90.00 90.00 90.00°
With the nearest neighbours (Å) after each atom.
Space group P4/mmm (No. 123)
Inequivalent atoms, fractional coordinates:
1 K 0.0000 0.0000 0.0000 (multiplicity 1)  8 Rh 3.27, 4 Ni 3.33
2 Ni 0.5000 0.5000 0.0000 (multiplicity 1)  2 Ge 2.26
3 Ge 0.5000 0.5000 0.5000 (multiplicity 1)  2 Ni 2.26, 4 Rh 2.36
4 Rh 0.0000 0.5000 0.5000 (multiplicity 2)  2 Ge 2.36